# 1
Material: Sm2InI
Method: DFT, PBE
State: relaxed

a b c (Å): 4.541 8.336 7.695
angles (deg): 102.27 107.15 89.99
Sites, in units of the cell vectors:
1 Sm 0.310 0.984 0.195
2 Sm 0.082 0.589 0.738
3 Sm 0.579 0.970 0.733
4 Sm 0.351 0.576 0.276
5 In 0.726 0.729 0.027
6 In 0.935 0.830 0.444
7 I 0.182 0.246 0.939
8 I 0.479 0.314 0.532

Output
* density of states at the Fermi level: 8.13 states/eV per cell
* magnetic moment: 0.01 μB/cell
* uncorrected energy: -4.079 eV/atom
* energy above the most stable polymorph in this dataset: 0.000 eV per formula unit
* space-group type: No. 2


# 2
Material: Sm2In5I12
Method: DFT, PBE
State: relaxed

a b c (Å): 9.021 10.663 10.937
angles (deg): 109.26 90.00 115.03
Sites, in units of the cell vectors:
1 Sm 0.745 0.000 0.000
2 Sm 0.255 0.000 0.000
3 In 0.266 0.531 0.640
4 In 0.321 0.643 0.176
5 In 0.000 0.000 0.500
6 In 0.679 0.357 0.824
7 In 0.734 0.469 0.360
8 I 0.011 0.021 0.200
9 I 0.092 0.663 0.915
10 I 0.571 0.663 0.915
11 I 0.115 0.751 0.423
12 I 0.636 0.751 0.423
13 I 0.488 0.976 0.791
14 I 0.512 0.024 0.209
15 I 0.885 0.249 0.577
16 I 0.364 0.249 0.577
17 I 0.908 0.337 0.085
18 I 0.429 0.337 0.085
19 I 0.989 0.979 0.800

Output
* density of states at the Fermi level: 6.85 states/eV per cell
* magnetic moment: 0.00 μB/cell
* uncorrected energy: -3.007 eV/atom
* space-group type: No. 12


# 3
Material: Sm3InI3
Method: DFT, PBE
State: relaxed

a b c (Å): 10.934 10.934 10.934
angles (deg): 109.47 109.47 109.47
Sites, in units of the cell vectors:
1 Sm 0.490 0.240 0.481
2 Sm 0.019 0.260 0.010
3 Sm 0.010 0.490 0.750
4 Sm 0.750 0.010 0.490
5 Sm 0.240 0.481 0.490
6 Sm 0.010 0.019 0.260
7 Sm 0.481 0.490 0.240
8 Sm 0.750 0.240 0.260
9 Sm 0.260 0.010 0.019
10 Sm 0.240 0.260 0.750
11 Sm 0.260 0.750 0.240
12 Sm 0.490 0.750 0.010
13 In 0.500 0.000 0.250
14 In 0.250 0.500 0.000
15 In 0.250 0.250 0.250
16 In 0.000 0.250 0.500
17 I 0.994 0.988 0.744
18 I 0.756 0.744 0.250
19 I 0.744 0.994 0.988
20 I 0.250 0.994 0.506
21 I 0.744 0.250 0.756
22 I 0.506 0.250 0.994
23 I 0.250 0.756 0.744
24 I 0.512 0.506 0.756
25 I 0.994 0.506 0.250
26 I 0.506 0.756 0.512
27 I 0.756 0.512 0.506
28 I 0.988 0.744 0.994

Output
* density of states at the Fermi level: 11.67 states/eV per cell
* magnetic moment: 0.00 μB/cell
* uncorrected energy: -4.036 eV/atom
* space-group type: No. 214


# 4
Material: Sm2InI
Method: DFT, PBE
State: relaxed

a b c (Å): 3.891 3.891 9.660
angles (deg): 78.38 78.38 60.00
Sites, in units of the cell vectors:
1 Sm 0.082 0.082 0.755
2 Sm 0.252 0.252 0.245
3 In 0.667 0.667 0.999
4 I 0.500 0.500 0.501

Output
* density of states at the Fermi level: 1.97 states/eV per cell
* magnetic moment: 0.00 μB/cell
* uncorrected energy: -4.053 eV/atom
* energy above the most stable polymorph in this dataset: 0.103 eV per formula unit
* space-group type: No. 160


> density of states at the Fermi level of number 2 (Sm2In5I12)?

6.85 states/eV per cell


> Number 2 is which compound?

Sm2In5I12


Repeat the fourth record exactly.
Material: Sm2InI
Method: DFT, PBE
State: relaxed

a b c (Å): 3.891 3.891 9.660
angles (deg): 78.38 78.38 60.00
Sites, in units of the cell vectors:
1 Sm 0.082 0.082 0.755
2 Sm 0.252 0.252 0.245
3 In 0.667 0.667 0.999
4 I 0.500 0.500 0.501

Output
* density of states at the Fermi level: 1.97 states/eV per cell
* magnetic moment: 0.00 μB/cell
* uncorrected energy: -4.053 eV/atom
* energy above the most stable polymorph in this dataset: 0.103 eV per formula unit
* space-group type: No. 160